Record 1
GdGaTe3Pb after structural relaxation. Source: OQMD, functional PBE.

Unit cell a=4.4934 b=15.0372 c=11.0528 alpha=90.00 beta=90.00 gamma=90.00
Closest atoms and distances in Å follow each position.
Space group Cmcm (No. 63)
One atom of each set of equivalent atoms:
1 Gd 0.0000 0.0000 0.0000 [4 per cell]  6 Te 3.16-3.17
2 Ga 0.0000 0.4737 0.2500 [4 per cell]  4 Te 2.90-2.96
3 Te 0.0000 0.1016 0.2500 [4 per cell]  2 Ga 2.96, 2 Gd 3.16, 2 Pb 3.27
4 Te 0.0000 0.3551 0.0435 [8 per cell]  1 Ga 2.90, 2 Gd 3.17
5 Pb 0.0000 0.2404 0.7500 [4 per cell]  6 Te 3.27-3.51

Calculated values
Calculated total energy   -0.300 Ry per atom
Total magnetic moment   0.00 μB per atom

---

Record 2
Gd2GaPd after structural relaxation. Source: OQMD, functional PBE.

Unit cell a=4.4390 b=3.9525 c=10.8799 alpha=90.00 beta=90.00 gamma=90.00
Closest atoms and distances in Å follow each position.
Space group Amm2 (No. 38)
One atom of each set of equivalent atoms:
1 Gd 0.0000 0.0000 0.0000 [2 per cell]  4 Ga 3.05, 3 Pd 3.07-3.09
2 Gd 0.5000 0.0000 0.2820 [2 per cell]  4 Pd 3.05, 3 Ga 3.07-3.09
3 Ga 0.5000 0.0000 0.5640 [2 per cell]  2 Pd 2.78, 7 Gd 3.05-3.09
4 Pd 0.0000 0.0000 0.7179 [2 per cell]  2 Ga 2.78, 7 Gd 3.05-3.09

Calculated values
Calculated total energy   -0.375 Ry per atom
Total magnetic moment   0.00 μB per atom

---

Record 3
Gd2Ga8Pd after structural relaxation. Source: OQMD, functional PBE.

Unit cell a=4.3528 b=4.3528 c=11.1752 alpha=90.00 beta=90.00 gamma=90.00
Closest atoms and distances in Å follow each position.
Space group P4/mmm (No. 123)
One atom of each set of equivalent atoms:
1 Gd 0.0000 0.0000 0.1898 [2 per cell]  12 Ga 3.00-3.08
2 Ga 0.0000 0.5000 0.0000 [2 per cell]  4 Gd 3.04, 8 Ga 3.05-3.08
3 Ga 0.0000 0.5000 0.3748 [4 per cell]  2 Pd 2.59, 1 Ga 2.80
4 Ga 0.5000 0.5000 0.1911 [2 per cell]  8 Ga 2.99-3.05, 4 Gd 3.08
5 Pd 0.0000 0.0000 0.5000 [1 per cell]  8 Ga 2.59

Calculated values
Calculated total energy   -0.298 Ry per atom
Total magnetic moment   0.00 μB per atom